1.
# LiBeGa2Ni, relaxed, DFT PBE-GGA
# **SG**: P4/mmm, No. 123
# **Total DFT energy (no corrections)**: -3.37 eV/atom
# **DFT formation energy**: 12 kJ/mol of atoms
# **Density**: 4.7 g/cm3
# **Crystal system**: tetragonal
data_LiBeGa2Ni
_chemical_formula_sum 'Li1 Be1 Ga2 Ni1'
_cell_length_a 4.288
_cell_length_b 4.288
_cell_length_c 4.101
_cell_angle_alpha 90.00
_cell_angle_beta 90.00
_cell_angle_gamma 90.00
_symmetry_space_group_name_H-M 'P 1'
_symmetry_Int_Tables_number 1
loop_
_symmetry_equiv_pos_as_xyz
'x,y,z'
loop_
_atom_site_label
_atom_site_fract_x
_atom_site_fract_y
_atom_site_fract_z
Ni1 0.000 0.000 0.500
Li1 0.500 0.500 0.500
Be1 0.000 0.000 0.000
Ga1 0.500 0.000 0.000
Ga2 0.000 0.500 0.000

2.
# ScIr3, relaxed, DFT PBE-GGA
# **SG**: P-6m2, No. 187
# **Total DFT energy (no corrections)**: -8.36 eV/atom
# **DFT formation energy**: -13 kJ/mol of atoms
# **Density**: 16.6 g/cm3
# **Crystal system**: hexagonal
data_ScIr3
_chemical_formula_sum 'Sc1 Ir3'
_cell_length_a 2.839
_cell_length_b 2.839
_cell_length_c 8.904
_cell_angle_alpha 90.00
_cell_angle_beta 90.00
_cell_angle_gamma 120.00
_symmetry_space_group_name_H-M 'P 1'
_symmetry_Int_Tables_number 1
loop_
_symmetry_equiv_pos_as_xyz
'x,y,z'
loop_
_atom_site_label
_atom_site_fract_x
_atom_site_fract_y
_atom_site_fract_z
Sc1 0.333 0.667 0.750
Ir1 0.000 0.000 0.002
Ir2 0.000 0.000 0.498
Ir3 0.333 0.667 0.250

3.
# YGa2Ni2, relaxed, DFT PBE-GGA
# **SG**: P4/mbm, No. 127
# **Total DFT energy (no corrections)**: -5.12 eV/atom
# **DFT formation energy**: -29 kJ/mol of atoms
# **Density**: 7.4 g/cm3
# **Crystal system**: tetragonal
data_YGa2Ni2
_chemical_formula_sum 'Y2 Ga4 Ni4'
_cell_length_a 7.448
_cell_length_b 7.448
_cell_length_c 2.788
_cell_angle_alpha 90.00
_cell_angle_beta 90.00
_cell_angle_gamma 90.00
_symmetry_space_group_name_H-M 'P 1'
_symmetry_Int_Tables_number 1
loop_
_symmetry_equiv_pos_as_xyz
'x,y,z'
loop_
_atom_site_label
_atom_site_fract_x
_atom_site_fract_y
_atom_site_fract_z
Ga1 0.375 0.875 0.000
Ga2 0.875 0.625 0.000
Ga3 0.625 0.125 0.000
Ga4 0.125 0.375 0.000
Y1 0.500 0.500 0.000
Y2 0.000 0.000 0.000
Ni1 0.330 0.170 0.500
Ni2 0.170 0.670 0.500
Ni3 0.830 0.330 0.500
Ni4 0.670 0.830 0.500

4.
# Cs2TiBeO4, relaxed, DFT PBE-GGA
# **SG**: Fddd, No. 70
# **Total DFT energy (no corrections)**: -6.54 eV/atom
# **Density**: 3.9 g/cm3
# **Crystal system**: orthorhombic
# **E_form (uncorrected)**: -2399 meV per atom
data_Cs2TiBeO4
_chemical_formula_sum 'Cs4 Ti2 Be2 O8'
_cell_length_a 4.748
_cell_length_b 6.754
_cell_length_c 11.088
_cell_angle_alpha 85.68
_cell_angle_beta 77.64
_cell_angle_gamma 69.42
_symmetry_space_group_name_H-M 'P 1'
_symmetry_Int_Tables_number 1
loop_
_symmetry_equiv_pos_as_xyz
'x,y,z'
loop_
_atom_site_label
_atom_site_fract_x
_atom_site_fract_y
_atom_site_fract_z
O1 0.888 0.852 0.916
O2 0.490 0.648 0.416
O3 0.657 0.148 0.084
O4 0.862 0.648 0.584
O5 0.195 0.148 0.916
O6 0.260 0.852 0.084
O7 0.093 0.352 0.416
O8 0.555 0.352 0.584
Be1 0.000 0.000 0.000
Be2 0.750 0.500 0.500
Ti1 0.250 0.500 0.500
Ti2 0.500 0.000 0.000
Cs1 0.171 0.000 0.658
Cs2 0.921 0.500 0.158
Cs3 0.829 0.000 0.342
Cs4 0.579 0.500 0.842

5.
# LaMn2Ru, relaxed, DFT PBE-GGA
# **SG**: P4mm, No. 99
# **Total DFT energy (no corrections)**: -7.92 eV/atom
# **DFT formation energy**: 20 kJ/mol of atoms
# **Density**: 7.8 g/cm3
# **Crystal system**: tetragonal
data_LaMn2Ru
_chemical_formula_sum 'La1 Mn2 Ru1'
_cell_length_a 3.249
_cell_length_b 3.250
_cell_length_c 7.011
_cell_angle_alpha 90.00
_cell_angle_beta 90.00
_cell_angle_gamma 90.00
_symmetry_space_group_name_H-M 'P 1'
_symmetry_Int_Tables_number 1
loop_
_symmetry_equiv_pos_as_xyz
'x,y,z'
loop_
_atom_site_label
_atom_site_fract_x
_atom_site_fract_y
_atom_site_fract_z
La1 0.500 0.500 0.725
Ru1 0.000 0.000 0.447
Mn1 0.500 0.500 0.245
Mn2 0.000 0.000 0.082

6.
# YTm2Pd, relaxed, DFT PBE-GGA
# **SG**: Cmcm, No. 63
# **Total DFT energy (no corrections)**: -5.63 eV/atom
# **DFT formation energy**: -46 kJ/mol of atoms
# **Density**: 8.4 g/cm3
# **Crystal system**: orthorhombic
data_YTm2Pd
_chemical_formula_sum 'Y2 Tm4 Pd2'
_cell_length_a 3.775
_cell_length_b 6.396
_cell_length_c 9.138
_cell_angle_alpha 90.00
_cell_angle_beta 90.00
_cell_angle_gamma 107.20
_symmetry_space_group_name_H-M 'P 1'
_symmetry_Int_Tables_number 1
loop_
_symmetry_equiv_pos_as_xyz
'x,y,z'
loop_
_atom_site_label
_atom_site_fract_x
_atom_site_fract_y
_atom_site_fract_z
Pd1 0.239 0.477 0.250
Pd2 0.761 0.523 0.750
Tm1 0.363 0.727 0.560
Tm2 0.637 0.273 0.060
Tm3 0.363 0.727 0.940
Tm4 0.637 0.273 0.440
Y1 0.941 0.883 0.250
Y2 0.059 0.117 0.750

7.
# Pr8Tl, relaxed, DFT PBE-GGA
# **SG**: C2/m, No. 12
# **Total DFT energy (no corrections)**: -4.55 eV/atom
# **DFT formation energy**: -3 kJ/mol of atoms
# **Density**: 7.1 g/cm3
# **Crystal system**: monoclinic
data_Pr8Tl
_chemical_formula_sum 'Pr8 Tl1'
_cell_length_a 10.983
_cell_length_b 6.320
_cell_length_c 6.321
_cell_angle_alpha 119.99
_cell_angle_beta 106.80
_cell_angle_gamma 106.81
_symmetry_space_group_name_H-M 'P 1'
_symmetry_Int_Tables_number 1
loop_
_symmetry_equiv_pos_as_xyz
'x,y,z'
loop_
_atom_site_label
_atom_site_fract_x
_atom_site_fract_y
_atom_site_fract_z
Pr1 0.671 0.996 0.671
Pr2 0.329 0.004 0.329
Pr3 0.000 0.666 0.334
Pr4 0.329 0.656 0.656
Pr5 0.000 0.334 0.666
Pr6 0.671 0.671 0.996
Pr7 0.671 0.344 0.344
Pr8 0.329 0.329 0.004
Tl1 0.000 0.000 0.000

8.
# Tc3AgSn, relaxed, DFT PBE-GGA
# **SG**: Pm-3m, No. 221
# **Total DFT energy (no corrections)**: -5.46 eV/atom
# **DFT formation energy**: 206 kJ/mol of atoms
# **Density**: 6.9 g/cm3
# **Crystal system**: cubic
data_Tc3AgSn
_chemical_formula_sum 'Tc3 Ag1 Sn1'
_cell_length_a 4.994
_cell_length_b 4.994
_cell_length_c 4.994
_cell_angle_alpha 90.00
_cell_angle_beta 90.00
_cell_angle_gamma 90.00
_symmetry_space_group_name_H-M 'P 1'
_symmetry_Int_Tables_number 1
loop_
_symmetry_equiv_pos_as_xyz
'x,y,z'
loop_
_atom_site_label
_atom_site_fract_x
_atom_site_fract_y
_atom_site_fract_z
Tc1 0.500 0.000 0.000
Tc2 0.000 0.000 0.500
Tc3 0.000 0.500 0.000
Ag1 0.500 0.500 0.500
Sn1 0.000 0.000 0.000

9.
# LaIrN2, relaxed, DFT PBE-GGA
# **SG**: R-3m, No. 166
# **Total DFT energy (no corrections)**: -7.94 eV/atom
# **Density**: 7.5 g/cm3
# **Crystal system**: trigonal
# **E_form (uncorrected)**: -332 meV per atom
data_LaIrN2
_chemical_formula_sum 'La1 Ir1 N2'
_cell_length_a 5.839
_cell_length_b 5.839
_cell_length_c 5.839
_cell_angle_alpha 41.74
_cell_angle_beta 41.74
_cell_angle_gamma 41.74
_symmetry_space_group_name_H-M 'P 1'
_symmetry_Int_Tables_number 1
loop_
_symmetry_equiv_pos_as_xyz
'x,y,z'
loop_
_atom_site_label
_atom_site_fract_x
_atom_site_fract_y
_atom_site_fract_z
N1 0.112 0.112 0.112
N2 0.888 0.888 0.888
La1 0.500 0.500 0.500
Ir1 0.000 0.000 0.000

10.
# BaSrAgAu, relaxed, DFT PBE-GGA
# **SG**: Amm2, No. 38
# **Total DFT energy (no corrections)**: -2.94 eV/atom
# **DFT formation energy**: -49 kJ/mol of atoms
# **Density**: 6.6 g/cm3
# **Crystal system**: orthorhombic
data_BaSrAgAu
_chemical_formula_sum 'Ba1 Sr1 Ag1 Au1'
_cell_length_a 4.443
_cell_length_b 4.968
_cell_length_c 6.457
_cell_angle_alpha 90.00
_cell_angle_beta 110.12
_cell_angle_gamma 90.00
_symmetry_space_group_name_H-M 'P 1'
_symmetry_Int_Tables_number 1
loop_
_symmetry_equiv_pos_as_xyz
'x,y,z'
loop_
_atom_site_label
_atom_site_fract_x
_atom_site_fract_y
_atom_site_fract_z
Ag1 0.432 0.000 0.863
Sr1 0.135 0.000 0.269
Ba1 0.859 0.500 0.717
Au1 0.575 0.500 0.150

11.
# RbCaTiBr6, relaxed, DFT PBE-GGA
# **SG**: P-31c, No. 163
# **Total DFT energy (no corrections)**: -3.92 eV/atom
# **Density**: 3.2 g/cm3
# **Crystal system**: trigonal
# **E_form (uncorrected)**: -1594 meV per atom
data_RbCaTiBr6
_chemical_formula_sum 'Rb2 Ca2 Ti2 Br12'
_cell_length_a 7.232
_cell_length_b 7.232
_cell_length_c 15.108
_cell_angle_alpha 90.00
_cell_angle_beta 90.00
_cell_angle_gamma 120.00
_symmetry_space_group_name_H-M 'P 1'
_symmetry_Int_Tables_number 1
loop_
_symmetry_equiv_pos_as_xyz
'x,y,z'
loop_
_atom_site_label
_atom_site_fract_x
_atom_site_fract_y
_atom_site_fract_z
Br1 0.355 0.386 0.852
Br2 0.355 0.969 0.648
Br3 0.614 0.645 0.648
Br4 0.645 0.031 0.352
Br5 0.386 0.031 0.148
Br6 0.969 0.614 0.352
Br7 0.386 0.355 0.352
Br8 0.969 0.355 0.148
Br9 0.645 0.614 0.148
Br10 0.031 0.645 0.852
Br11 0.614 0.969 0.852
Br12 0.031 0.386 0.648
Rb1 0.000 0.000 0.000
Rb2 0.000 0.000 0.500
Ti1 0.333 0.667 0.750
Ti2 0.667 0.333 0.250
Ca1 0.333 0.667 0.250
Ca2 0.667 0.333 0.750

12.
# K2PaZnSe5, relaxed, DFT PBE-GGA
# **SG**: Cmc2_1, No. 36
# **Total DFT energy (no corrections)**: -4.44 eV/atom
# **Density**: 4.4 g/cm3
# **Crystal system**: orthorhombic
# **E_form (uncorrected)**: -1062 meV per atom
data_K2PaZnSe5
_chemical_formula_sum 'K4 Pa2 Zn2 Se10'
_cell_length_a 4.130
_cell_length_b 10.204
_cell_length_c 13.921
_cell_angle_alpha 90.00
_cell_angle_beta 90.00
_cell_angle_gamma 101.68
_symmetry_space_group_name_H-M 'P 1'
_symmetry_Int_Tables_number 1
loop_
_symmetry_equiv_pos_as_xyz
'x,y,z'
loop_
_atom_site_label
_atom_site_fract_x
_atom_site_fract_y
_atom_site_fract_z
Se1 0.497 0.994 0.286
Se2 0.061 0.121 0.032
Se3 0.665 0.330 0.510
Se4 0.335 0.670 0.010
Se5 0.503 0.006 0.786
Se6 0.300 0.600 0.654
Se7 0.307 0.613 0.380
Se8 0.693 0.387 0.880
Se9 0.939 0.879 0.532
Se10 0.700 0.400 0.154
Zn1 0.567 0.134 0.929
Zn2 0.433 0.866 0.429
K1 0.118 0.237 0.684
K2 0.882 0.763 0.184
K3 0.126 0.252 0.329
K4 0.874 0.748 0.829
Pa1 0.202 0.404 0.019
Pa2 0.798 0.596 0.519